No. 1
! K5Rb5S (GGA-PBE, relaxed); values from VASP
&SYSTEM
  ibrav = 0, nat = 11, ntyp = 3
/
ATOMIC_SPECIES
K 39.10 K.upf
Rb 85.47 Rb.upf
S 32.06 S.upf
ATOMIC_POSITIONS crystal
K 0.0000 0.0000 0.0000
K 0.3317 0.3317 0.0834
K 0.3995 0.3995 0.8333
K 0.6005 0.6005 0.1667
K 0.6683 0.6683 0.9166
Rb 0.1023 0.1023 0.7057
Rb 0.1966 0.1966 0.3856
Rb 0.5000 0.5000 0.5000
Rb 0.8034 0.8034 0.6144
Rb 0.8977 0.8977 0.2943
S 0.5000 0.5000 0.0000
CELL_PARAMETERS angstrom
8.0827 -3.1250 0.0000
8.0827 3.1250 0.0000
-0.6716 0.0000 16.1245
! - SG = No. 12

No. 2
! KRbS2 (GGA-PBE, relaxed); values from VASP
&SYSTEM
  ibrav = 0, nat = 16, ntyp = 3
/
ATOMIC_SPECIES
K 39.10 K.upf
Rb 85.47 Rb.upf
S 32.06 S.upf
ATOMIC_POSITIONS crystal
K 0.1201 0.3328 0.0000
K 0.3328 0.8799 0.7500
K 0.6672 0.1201 0.2500
K 0.8799 0.6672 0.5000
Rb 0.1245 0.6815 0.1294
Rb 0.3185 0.1245 0.3794
Rb 0.6815 0.8755 0.8794
Rb 0.8755 0.3185 0.6294
S 0.1003 0.6199 0.2741
S 0.1454 0.3754 0.8530
S 0.3754 0.8546 0.6030
S 0.3801 0.1003 0.5241
S 0.6199 0.8997 0.0241
S 0.6246 0.1454 0.1030
S 0.8546 0.6246 0.3530
S 0.8997 0.3801 0.7741
CELL_PARAMETERS angstrom
4.7277 0.0000 0.0000
0.0000 4.7277 0.0000
0.0000 0.0000 22.6915
! - SG = No. 76
! - polymorph energy (0 for the lowest one) (kJ/mol of atoms) = 0.0

No. 3
! KRb5S (GGA-PBE, relaxed); values from VASP
&SYSTEM
  ibrav = 0, nat = 14, ntyp = 3
/
ATOMIC_SPECIES
K 39.10 K.upf
Rb 85.47 Rb.upf
S 32.06 S.upf
ATOMIC_POSITIONS crystal
K 0.0018 0.9982 0.7500
K 0.9982 0.0018 0.2500
Rb 0.1256 0.5908 0.9308
Rb 0.1289 0.5766 0.4244
Rb 0.4092 0.8744 0.5692
Rb 0.4234 0.8711 0.0756
Rb 0.4980 0.5020 0.7500
Rb 0.5020 0.4980 0.2500
Rb 0.5766 0.1289 0.9244
Rb 0.5908 0.1256 0.4308
Rb 0.8711 0.4234 0.5756
Rb 0.8744 0.4092 0.0692
S 0.5000 0.5000 0.0000
S 0.5000 0.5000 0.5000
CELL_PARAMETERS angstrom
8.4763 -4.9614 0.0000
8.4763 4.9614 0.0000
-5.2856 0.0000 12.2768
! - SG = No. 15

No. 4
! KRb2S2 (GGA-PBE, relaxed); values from VASP
&SYSTEM
  ibrav = 0, nat = 10, ntyp = 3
/
ATOMIC_SPECIES
K 39.10 K.upf
Rb 85.47 Rb.upf
S 32.06 S.upf
ATOMIC_POSITIONS crystal
K 0.0000 0.0000 0.0000
K 0.5000 0.5000 0.0000
Rb 0.1240 0.3760 0.0000
Rb 0.3760 0.8760 0.0000
Rb 0.6240 0.1240 0.0000
Rb 0.8760 0.6240 0.0000
S 0.1763 0.6763 0.5000
S 0.3237 0.1763 0.5000
S 0.6763 0.8237 0.5000
S 0.8237 0.3237 0.5000
CELL_PARAMETERS angstrom
9.4072 0.0000 0.0000
0.0000 9.4072 0.0000
0.0000 0.0000 3.6689
! - SG = No. 127
! - polymorph energy (0 for the lowest one) (kJ/mol of atoms) = 3.9

No. 5
! K5RbS (GGA-PBE, relaxed); values from VASP
&SYSTEM
  ibrav = 0, nat = 14, ntyp = 3
/
ATOMIC_SPECIES
K 39.10 K.upf
Rb 85.47 Rb.upf
S 32.06 S.upf
ATOMIC_POSITIONS crystal
K 0.0006 0.9994 0.7500
K 0.0683 0.6322 0.4244
K 0.0717 0.6320 0.9265
K 0.3680 0.9283 0.5735
K 0.3678 0.9317 0.0756
K 0.6322 0.0683 0.9244
K 0.6320 0.0717 0.4265
K 0.9283 0.3680 0.0735
K 0.9317 0.3678 0.5756
K 0.9994 0.0006 0.2500
Rb 0.5001 0.4999 0.2500
Rb 0.4999 0.5001 0.7500
S 0.0000 0.0000 0.0000
S 0.0000 0.0000 0.5000
CELL_PARAMETERS angstrom
8.0838 -4.8190 0.0000
8.0838 4.8190 0.0000
-5.0019 0.0000 11.6640
! - SG = No. 15

No. 6
! KRbS2 (GGA-PBE, relaxed); values from VASP
&SYSTEM
  ibrav = 0, nat = 12, ntyp = 3
/
ATOMIC_SPECIES
K 39.10 K.upf
Rb 85.47 Rb.upf
S 32.06 S.upf
ATOMIC_POSITIONS crystal
K 0.0000 0.0000 0.0000
K 0.3333 0.6667 0.6667
K 0.6667 0.3333 0.3333
Rb 0.0000 0.0000 0.5000
Rb 0.3333 0.6667 0.1667
Rb 0.6667 0.3333 0.8333
S 0.0000 0.0000 0.0949
S 0.0000 0.0000 0.9051
S 0.3333 0.6667 0.5717
S 0.3333 0.6667 0.7616
S 0.6667 0.3333 0.2384
S 0.6667 0.3333 0.4283
CELL_PARAMETERS angstrom
4.4607 0.0000 0.0000
-2.2304 3.8631 0.0000
0.0000 0.0000 31.0171
! - SG = No. 166
! - polymorph energy (0 for the lowest one) (kJ/mol of atoms) = 71.8

Let's list energy relative to the elements, uncorrected in order: -0.252 -0.868 -0.374 -0.709 -0.384 -0.123 eV per atom.
Let's list size of the total moment in order: 0.00 0.00 0.00 0.00 0.00 6.00 Bohr magnetons per cell.